Ti3NiRu | PBE-GGA | relaxed

Unit cell a=4.434 b=4.434 c=4.434 alpha=90.00 beta=90.00 gamma=90.00
Space group Pm-3m (No. 221)
Symmetry-distinct sites (fractional):
Ti: 0.000 0.000 0.500
Ni: 0.000 0.000 0.000
Ru: 0.500 0.500 0.500

Properties
* total moment: 0.0 μB/cell
* formation energy: 0.4725 eV/atom
* crystal system: cubic
* polymorph energy (0 for the lowest one): 0.000 eV/atom


ZnNi5Ge2 | PBE-GGA | relaxed

Unit cell a=4.266 b=4.266 c=10.647 alpha=90.00 beta=90.00 gamma=90.00
Space group I4/mmm (No. 139)
Symmetry-distinct sites (fractional):
Zn: 0.000 0.000 0.000
Ni: 0.000 0.000 0.500
Ni: 0.000 0.500 0.128
Ge: 0.000 0.000 0.262

Properties
* total moment: 0.0 μB/cell
* formation energy: -0.1599 eV/atom
* crystal system: tetragonal


- Number 2 is which compound?
  ZnNi5Ge2